Compound: CsAlClF3
Source: the Alexandria database
Functional: PBE-GGA
Structure: optimized geometry

POSCAR file:
```
CsAlClF3
1.0
3.1663 -9.3522 0.0000
3.1663 9.3522 0.0000
-0.3536 0.0000 5.1945
Cs Al Cl F
2 2 2 6
direct
0.2237 0.7763 0.7500 Cs
0.7763 0.2237 0.2500 Cs
0.0315 0.9685 0.2500 Al
0.9685 0.0315 0.7500 Al
0.3372 0.6628 0.2500 Cl
0.6628 0.3372 0.7500 Cl
0.1207 0.8793 0.2500 F
0.1591 0.1888 0.4786 F
0.1888 0.1591 0.9786 F
0.8112 0.8409 0.0214 F
0.8409 0.8112 0.5214 F
0.8793 0.1207 0.7500 F
```

## Properties
The uncorrected formation energy is -271.2 kJ/mol of atoms. As for the magnetization: 0.0 Bohr magnetons per cell. As for the density of states at the Fermi level: 0.00 states/eV/atom. Its volume is 153.8 Å³/f.u.